No. 1
FeCuPt2 | GGA-PBEsol | optimized geometry

* raw total energy: -6.936 eV per atom

abc: 8.678 8.678 8.678
angles: 17.87 17.87 17.87
Sites, in units of the cell vectors:
Fe  0.000  0.000  0.000
Cu  0.500  0.500  0.500
Pt  0.251  0.251  0.251
Pt  0.749  0.749  0.749

No. 2
SrIN2O | GGA-PBEsol | optimized geometry

* energy relative to the elements, uncorrected: 1684.3 meV per atom

abc: 5.010 5.010 6.361
angles: 90.00 90.00 90.00
Sites, in units of the cell vectors:
Sr  0.000  0.000  0.000
I  0.000  0.000  0.500
N  0.000  0.500  0.000
N  0.500  0.000  0.000
O  0.500  0.500  0.500

No. 3
Cs3KMg | GGA-PBEsol | optimized geometry

* raw total energy: -0.948 eV per atom

abc: 7.673 7.673 7.673
angles: 90.00 90.00 90.00
Sites, in units of the cell vectors:
Cs  0.000  0.000  0.500
Cs  0.000  0.500  0.000
Cs  0.500  0.000  0.000
K  0.500  0.500  0.500
Mg  0.000  0.000  0.000

No. 4
BaTe2Se | GGA-PBEsol | optimized geometry

* energy relative to the elements, uncorrected: -606.1 meV per atom

abc: 4.518 4.518 6.147
angles: 90.00 90.00 90.00
Sites, in units of the cell vectors:
Ba  0.000  0.000  0.000
Te  0.500  0.500  0.257
Te  0.500  0.500  0.743
Se  0.000  0.000  0.500

No. 5
Li2FeO2F | GGA-PBEsol | optimized geometry

* energy relative to the elements, uncorrected: -1993.3 meV per atom

abc: 5.700 3.978 8.605
angles: 90.00 90.00 90.00
Sites, in units of the cell vectors:
Li  0.116  0.250  0.082
Li  0.140  0.250  0.752
Li  0.360  0.750  0.252
Li  0.384  0.750  0.582
Li  0.616  0.250  0.418
Li  0.640  0.250  0.748
Li  0.860  0.750  0.248
Li  0.884  0.750  0.918
Fe  0.107  0.250  0.398
Fe  0.393  0.750  0.898
Fe  0.607  0.250  0.102
Fe  0.893  0.750  0.602
O  0.107  0.750  0.422
O  0.148  0.750  0.755
O  0.352  0.250  0.255
O  0.393  0.250  0.922
O  0.607  0.750  0.078
O  0.648  0.750  0.745
O  0.852  0.250  0.245
O  0.893  0.250  0.578
F  0.119  0.750  0.080
F  0.381  0.250  0.580
F  0.619  0.750  0.420
F  0.881  0.250  0.920

No. 6
MnZnNi6 | GGA-PBEsol | optimized geometry

* raw total energy: -6.137 eV per atom

abc: 6.071 6.071 9.914
angles: 90.00 90.00 109.50
Sites, in units of the cell vectors:
Mn  0.000  0.000  0.249
Mn  0.000  0.000  0.751
Mn  0.249  0.751  0.500
Mn  0.751  0.249  0.500
Zn  0.250  0.750  0.000
Zn  0.500  0.500  0.250
Zn  0.500  0.500  0.750
Zn  0.750  0.250  0.000
Ni  0.000  0.000  0.000
Ni  0.000  0.000  0.500
Ni  0.123  0.374  0.376
Ni  0.123  0.374  0.624
Ni  0.124  0.373  0.126
Ni  0.124  0.373  0.874
Ni  0.249  0.751  0.252
Ni  0.249  0.751  0.748
Ni  0.373  0.124  0.126
Ni  0.373  0.124  0.874
Ni  0.374  0.123  0.376
Ni  0.374  0.123  0.624
Ni  0.500  0.500  0.000
Ni  0.500  0.500  0.500
Ni  0.626  0.877  0.376
Ni  0.626  0.877  0.624
Ni  0.627  0.876  0.126
Ni  0.627  0.876  0.874
Ni  0.751  0.249  0.252
Ni  0.751  0.249  0.748
Ni  0.876  0.627  0.126
Ni  0.876  0.627  0.874
Ni  0.877  0.626  0.376
Ni  0.877  0.626  0.624

No. 7
CsPH2O2 | GGA-PBEsol | optimized geometry

* raw total energy: -5.287 eV per atom

abc: 8.393 6.621 7.844
angles: 90.00 90.00 90.00
Sites, in units of the cell vectors:
Cs  0.135  0.250  0.139
Cs  0.365  0.750  0.639
Cs  0.635  0.250  0.361
Cs  0.865  0.750  0.861
P  0.111  0.250  0.672
P  0.389  0.750  0.172
P  0.611  0.250  0.828
P  0.889  0.750  0.328
H  0.028  0.750  0.435
H  0.237  0.250  0.547
H  0.263  0.750  0.047
H  0.472  0.250  0.935
H  0.528  0.750  0.065
H  0.737  0.250  0.953
H  0.763  0.750  0.453
H  0.972  0.250  0.565
O  0.118  0.053  0.770
O  0.118  0.447  0.770
O  0.382  0.553  0.270
O  0.382  0.947  0.270
O  0.618  0.053  0.730
O  0.618  0.447  0.730
O  0.882  0.553  0.230
O  0.882  0.947  0.230

No. 8
Na2Cr2O7 | GGA-PBEsol | optimized geometry

* energy relative to the elements, uncorrected: -1829.9 meV per atom

abc: 6.972 6.996 7.341
angles: 62.75 85.20 82.85
Sites, in units of the cell vectors:
Na  0.129  0.230  0.331
Na  0.340  0.388  0.744
Na  0.660  0.612  0.256
Na  0.871  0.770  0.669
Cr  0.156  0.749  0.242
Cr  0.365  0.873  0.804
Cr  0.635  0.127  0.196
Cr  0.844  0.251  0.758
O  0.001  0.392  0.779
O  0.060  0.891  0.355
O  0.245  0.925  0.000
O  0.246  0.716  0.761
O  0.334  0.584  0.372
O  0.370  0.107  0.607
O  0.418  0.238  0.123
O  0.582  0.762  0.877
O  0.630  0.893  0.393
O  0.666  0.416  0.628
O  0.754  0.284  0.239
O  0.755  0.075  0.000
O  0.940  0.109  0.645
O  0.999  0.608  0.221

No. 9
Fe2SiSb | GGA-PBEsol | optimized geometry

* energy relative to the elements, uncorrected: 74.9 meV per atom

abc: 4.117 4.117 3.016
angles: 90.00 90.00 90.00
Sites, in units of the cell vectors:
Fe  0.000  0.500  0.000
Fe  0.500  0.000  0.000
Si  0.000  0.000  0.500
Sb  0.500  0.500  0.500

No. 10
AgAu3 | GGA-PBEsol | optimized geometry

* raw total energy: -3.799 eV per atom

abc: 2.851 4.761 4.955
angles: 90.00 90.00 90.00
Sites, in units of the cell vectors:
Ag  0.000  0.000  0.000
Au  0.000  0.500  0.332
Au  0.500  0.000  0.500
Au  0.500  0.500  0.833

No. 11
HfPt | GGA-PBEsol | optimized geometry

* raw total energy: -9.875 eV per atom

abc: 5.379 5.379 4.259
angles: 90.00 90.00 143.86
Sites, in units of the cell vectors:
Hf  0.142  0.858  0.750
Hf  0.858  0.142  0.250
Pt  0.408  0.592  0.750
Pt  0.592  0.408  0.250

No. 12
Cs2HgPt | GGA-PBEsol | optimized geometry

* raw total energy: -2.415 eV per atom

abc: 8.969 8.969 8.969
angles: 94.88 94.88 146.07
Sites, in units of the cell vectors:
Cs  0.375  0.034  0.159
Cs  0.784  0.625  0.659
Cs  0.875  0.216  0.841
Cs  0.966  0.125  0.341
Hg  0.250  0.750  0.500
Hg  0.500  0.500  0.000
Pt  0.000  0.000  0.000
Pt  0.750  0.250  0.500

No. 13
Er2RuAu | GGA-PBEsol | optimized geometry

* raw total energy: -6.593 eV per atom

abc: 4.818 4.818 4.818
angles: 60.00 60.00 60.00
Sites, in units of the cell vectors:
Er  0.250  0.250  0.250
Er  0.750  0.750  0.750
Ru  0.000  0.000  0.000
Au  0.500  0.500  0.500

No. 14
TcOs | GGA-PBEsol | optimized geometry

* raw total energy: -11.833 eV per atom

abc: 4.720 4.320 5.459
angles: 90.00 90.00 90.00
Sites, in units of the cell vectors:
Tc  0.084  0.250  0.124
Tc  0.416  0.750  0.624
Tc  0.584  0.250  0.376
Tc  0.916  0.750  0.876
Os  0.083  0.250  0.626
Os  0.417  0.750  0.126
Os  0.583  0.250  0.874
Os  0.917  0.750  0.374

No. 15
BaSeN3 | GGA-PBEsol | optimized geometry

* energy relative to the elements, uncorrected: 2520.9 meV per atom

abc: 5.149 5.149 5.149
angles: 90.00 90.00 90.00
Sites, in units of the cell vectors:
Ba  0.000  0.000  0.000
Se  0.500  0.500  0.500
N  0.000  0.000  0.500
N  0.000  0.500  0.000
N  0.500  0.000  0.000

No. 16
Sm2Ga9Rh3 | GGA-PBEsol | optimized geometry

* raw total energy: -5.385 eV per atom

abc: 7.474 7.474 9.442
angles: 90.00 90.00 60.40
Sites, in units of the cell vectors:
Sm  0.002  0.670  0.750
Sm  0.330  0.998  0.750
Sm  0.670  0.002  0.250
Sm  0.998  0.330  0.250
Ga  0.003  0.665  0.078
Ga  0.003  0.665  0.422
Ga  0.129  0.871  0.250
Ga  0.334  0.666  0.562
Ga  0.334  0.666  0.938
Ga  0.335  0.997  0.078
Ga  0.335  0.997  0.422
Ga  0.339  0.453  0.250
Ga  0.453  0.339  0.750
Ga  0.547  0.661  0.250
Ga  0.661  0.547  0.750
Ga  0.665  0.003  0.578
Ga  0.665  0.003  0.922
Ga  0.666  0.334  0.062
Ga  0.666  0.334  0.438
Ga  0.871  0.129  0.750
Ga  0.997  0.335  0.578
Ga  0.997  0.335  0.922
Rh  0.000  0.000  0.000
Rh  0.000  0.000  0.500
Rh  0.329  0.329  0.000
Rh  0.329  0.329  0.500
Rh  0.671  0.671  0.000
Rh  0.671  0.671  0.500

No. 17
Nb2Co2O | GGA-PBEsol | optimized geometry

* energy relative to the elements, uncorrected: 625.2 meV per atom

abc: 5.141 5.141 5.141
angles: 131.35 131.35 71.25
Sites, in units of the cell vectors:
Nb  0.250  0.750  0.500
Nb  0.750  0.250  0.500
Co  0.122  0.122  0.000
Co  0.878  0.878  0.000
O  0.500  0.500  0.000

No. 18
ZrAl2P | GGA-PBEsol | optimized geometry

* raw total energy: -6.035 eV per atom

abc: 4.933 4.933 3.115
angles: 90.00 90.00 115.65
Sites, in units of the cell vectors:
Zr  0.000  0.000  0.000
Al  0.000  0.500  0.500
Al  0.500  0.000  0.500
P  0.500  0.500  0.000

No. 19
LaRe2W | GGA-PBEsol | optimized geometry

* raw total energy: -10.980 eV per atom

abc: 3.094 3.094 7.759
angles: 90.00 90.00 90.00
Sites, in units of the cell vectors:
La  0.000  0.000  0.000
Re  0.000  0.000  0.493
Re  0.500  0.500  0.305
W  0.500  0.500  0.690

No. 20
KLaMnBr2 | GGA-PBEsol | optimized geometry

* energy relative to the elements, uncorrected: -5.3 meV per atom

abc: 5.687 5.687 8.189
angles: 90.00 90.00 90.00
Sites, in units of the cell vectors:
K  0.000  0.000  0.000
La  0.000  0.000  0.500
Mn  0.500  0.500  0.000
Br  0.000  0.500  0.500
Br  0.500  0.000  0.500

No. 21
Te3Mo2S | GGA-PBEsol | optimized geometry

* energy relative to the elements, uncorrected: -398.5 meV per atom

abc: 3.392 3.392 27.185
angles: 90.00 90.00 120.00
Sites, in units of the cell vectors:
Te  0.000  0.000  0.068
Te  0.000  0.000  0.932
Te  0.667  0.333  0.192
Te  0.667  0.333  0.328
Te  0.667  0.333  0.672
Te  0.667  0.333  0.808
Mo  0.000  0.000  0.260
Mo  0.000  0.000  0.740
Mo  0.667  0.333  0.000
Mo  0.667  0.333  0.500
S  0.000  0.000  0.446
S  0.000  0.000  0.554

No. 22
ScGe2RuPb | GGA-PBEsol | optimized geometry

* raw total energy: -5.372 eV per atom

abc: 5.067 5.067 4.578
angles: 90.00 90.00 90.00
Sites, in units of the cell vectors:
Sc  0.000  0.000  0.000
Ge  0.000  0.500  0.000
Ge  0.500  0.000  0.000
Ru  0.000  0.000  0.500
Pb  0.500  0.500  0.500

No. 23
KInIr2 | GGA-PBEsol | optimized geometry

* raw total energy: -5.495 eV per atom

abc: 6.796 6.796 5.886
angles: 97.44 97.44 23.48
Sites, in units of the cell vectors:
K  0.000  0.000  0.000
In  0.236  0.236  0.508
Ir  0.563  0.563  0.524
Ir  0.906  0.906  0.468

Calculated volume, respectively: 53.7 159.6 451.7 125.5 195.1 344.5 435.9 315.7 51.1 67.2 72.7 385.2 79.1 111.3 136.5 458.6 75.0 68.3 74.3 264.8 270.9 117.5 107.4 Å³/cell.